The following is a GGA-PBE calculation of an optimized crystal structure of K3TaIn, from Alexandria via LeMat-Bulk.

Output
Energy above the lowest structure with this stoichiometry: 0.000 eV per atom
V: 291 Å³/cell
Formation energy: 694 kJ/mol of formula units

Cell: 6.6263 6.6263 6.6263 Å, 90.00 90.00 90.00°
Space group Pm-3m (No. 221)
One atom of each set of equivalent atoms:
K1 0.0000 0.0000 0.5000 [3 per cell]
Ta1 0.0000 0.0000 0.0000 [1 per cell]
In1 0.5000 0.5000 0.5000 [1 per cell]